The following is a GGA-PBE calculation of an optimized crystal structure of Ac4B5C2, from Alexandria via LeMat-Bulk.

Output
Calculated total energy, eV/cell: -68.48
ΔH_f (0 K), eV per atom: -0.020
Total moment, μB/cell: 0.00

Cell and atoms, written as POSCAR:
```
Ac4B5C2
1.0
-1.774 -3.228 -1.840
3.728 -0.678 -2.112
6.684 -5.050 12.611
C B Ac
2 5 4
Cartesian
5.722 -3.881 8.754
2.915 -5.074 -0.096
1.864 -0.339 -1.056
3.065 -1.205 -0.630
4.766 -7.117 8.098
3.871 -1.839 0.560
5.572 -7.751 9.288
7.976 -6.071 8.734
4.400 -4.574 6.657
0.661 -2.884 -0.076
4.237 -4.381 2.001
```

***

The following is a GGA-PBE calculation of an optimized crystal structure of Mo3RuRh4, from Alexandria via LeMat-Bulk.

Output
Calculated total energy, eV/cell: -68.58
ΔH_f (0 K), eV per atom: 0.325
Total moment, μB/cell: 0.00

Cell and atoms, written as POSCAR:
```
Mo3RuRh4
1.0
-1.511 1.802 1.519
-2.138 1.177 -3.523
-3.347 -10.343 6.359
Rh Mo Ru
4 3 1
Cartesian
-3.714 -7.320 4.988
-3.820 -5.717 2.981
-3.282 -0.044 -0.634
-3.177 -1.648 1.373
-4.924 -3.469 1.796
-1.069 0.588 -1.762
-2.072 -3.895 2.559
-0.756 0.901 0.759
```

***

The following is a GGA-PBE calculation of an optimized crystal structure of Rb2LiSn6, from Alexandria via LeMat-Bulk.

Output
Calculated total energy, eV/cell: -29.37
ΔH_f (0 K), eV per atom: -0.167
Total moment, μB/cell: 0.00

Cell and atoms, written as POSCAR:
```
Rb2LiSn6
1.0
6.654 0.000 0.000
-3.327 6.190 1.603
0.000 0.511 7.327
Sn Li Rb
6 1 2
Cartesian
4.985 2.061 5.223
1.670 2.061 5.223
0.000 1.444 2.779
-1.657 4.640 3.706
1.657 4.640 3.706
3.327 5.257 6.150
0.000 0.000 0.000
0.000 4.835 7.499
3.327 1.866 1.430
```

***

- Number 2 is which compound?
  Mo3RuRh4